1.
# SrCuGe2 PBE-GGA relaxed
data_SrCuGe2
_cell_length_a 6.981
_cell_length_b 6.981
_cell_length_c 6.981
_cell_angle_alpha 90.00
_cell_angle_beta 90.00
_cell_angle_gamma 90.00
_symmetry_space_group_name_H-M 'F m -3 m'
_symmetry_Int_Tables_number 225
_symmetry_space_group_name_Hall '-F 4 2 3'
loop_
_atom_site_label
_atom_site_type_symbol
_atom_site_fract_x
_atom_site_fract_y
_atom_site_fract_z
_atom_site_occupancy
Sr1 Sr 0.000 0.000 0.000 1
Cu1 Cu 0.000 0.000 0.500 1
Ge1 Ge 0.250 0.250 0.250 1
# * crystal system: cubic
# * magnetic moment: 0.00 μB/atom
# * energy of formation: 4.85 kJ per mole of atoms
# * DFT total energy: -3.70 eV per atom

2.
# SrCu4Ge PBE-GGA relaxed
data_SrCu4Ge
_cell_length_a 7.317
_cell_length_b 7.317
_cell_length_c 7.317
_cell_angle_alpha 90.00
_cell_angle_beta 90.00
_cell_angle_gamma 90.00
_symmetry_space_group_name_H-M 'F -4 3 m'
_symmetry_Int_Tables_number 216
_symmetry_space_group_name_Hall 'F -4 2 3'
loop_
_atom_site_label
_atom_site_type_symbol
_atom_site_fract_x
_atom_site_fract_y
_atom_site_fract_z
_atom_site_occupancy
Sr1 Sr 0.000 0.000 0.000 1
Cu1 Cu 0.124 0.124 0.376 1
Ge1 Ge 0.250 0.250 0.750 1
# * crystal system: cubic
# * magnetic moment: 0.00 μB/atom
# * energy of formation: -4.61 kJ per mole of atoms
# * DFT total energy: -3.83 eV per atom

3.
# SrCu9Ge4 PBE-GGA relaxed
data_SrCu9Ge4
_cell_length_a 8.329
_cell_length_b 8.329
_cell_length_c 11.993
_cell_angle_alpha 90.00
_cell_angle_beta 90.00
_cell_angle_gamma 90.00
_symmetry_space_group_name_H-M 'I 4/m c m'
_symmetry_Int_Tables_number 140
_symmetry_space_group_name_Hall '-I 4 2c'
loop_
_atom_site_label
_atom_site_type_symbol
_atom_site_fract_x
_atom_site_fract_y
_atom_site_fract_z
_atom_site_occupancy
Sr1 Sr 0.000 0.000 0.250 1
Cu1 Cu 0.000 0.500 0.000 1
Cu2 Cu 0.062 0.203 0.000 1
Cu3 Cu 0.118 0.382 0.178 1
Ge1 Ge 0.179 0.321 0.379 1
# * crystal system: tetragonal
# * magnetic moment: 0.00 μB/atom
# * energy of formation: -15.73 kJ per mole of atoms
# * DFT total energy: -4.24 eV per atom

4.
# Sr2CuGe PBE-GGA relaxed
data_Sr2CuGe
_cell_length_a 6.222
_cell_length_b 4.482
_cell_length_c 8.924
_cell_angle_alpha 90.00
_cell_angle_beta 109.08
_cell_angle_gamma 90.00
_symmetry_space_group_name_H-M 'P 1 21/m 1'
_symmetry_Int_Tables_number 11
loop_
_symmetry_equiv_pos_as_xyz
'x,y,z'
'-x,-y,-z'
'-x,y+1/2,-z'
'x,-y+1/2,z'
loop_
_atom_site_label
_atom_site_type_symbol
_atom_site_fract_x
_atom_site_fract_y
_atom_site_fract_z
_atom_site_occupancy
Sr1 Sr 0.210 0.250 0.423 1
Sr2 Sr 0.289 0.750 0.064 1
Cu1 Cu 0.190 0.250 0.769 1
Ge1 Ge 0.341 0.750 0.716 1
# * crystal system: monoclinic
# * magnetic moment: 0.00 μB/atom
# * energy of formation: -33.92 kJ per mole of atoms
# * DFT total energy: -3.37 eV per atom

5.
# Sr2CuGe2 PBE-GGA relaxed
data_Sr2CuGe2
_cell_length_a 7.190
_cell_length_b 7.190
_cell_length_c 4.878
_cell_angle_alpha 90.00
_cell_angle_beta 90.00
_cell_angle_gamma 90.00
_symmetry_space_group_name_H-M 'P 4/m b m'
_symmetry_Int_Tables_number 127
_symmetry_space_group_name_Hall '-P 4 2ab'
loop_
_atom_site_label
_atom_site_type_symbol
_atom_site_fract_x
_atom_site_fract_y
_atom_site_fract_z
_atom_site_occupancy
Sr1 Sr 0.168 0.332 0.000 1
Cu1 Cu 0.000 0.000 0.500 1
Ge1 Ge 0.137 0.637 0.500 1
# * crystal system: tetragonal
# * magnetic moment: 0.00 μB/atom
# * energy of formation: -29.10 kJ per mole of atoms
# * DFT total energy: -3.64 eV per atom
# * energy above the lowest structure with this stoichiometry: 0.186 eV/atom

6.
# SrCu2Ge PBE-GGA relaxed
data_SrCu2Ge
_cell_length_a 7.065
_cell_length_b 4.119
_cell_length_c 11.317
_cell_angle_alpha 90.00
_cell_angle_beta 90.00
_cell_angle_gamma 90.00
_symmetry_space_group_name_H-M 'P n m a'
_symmetry_Int_Tables_number 62
loop_
_symmetry_equiv_pos_as_xyz
'x,y,z'
'-x,-y,-z'
'-x+1/2,-y,z+1/2'
'x+1/2,y,-z+1/2'
'x+1/2,-y+1/2,-z+1/2'
'-x+1/2,y+1/2,z+1/2'
'-x,y+1/2,-z'
'x,-y+1/2,z'
loop_
_atom_site_label
_atom_site_type_symbol
_atom_site_fract_x
_atom_site_fract_y
_atom_site_fract_z
_atom_site_occupancy
Sr1 Sr 0.249 0.250 0.193 1
Cu1 Cu 0.069 0.750 0.449 1
Cu2 Cu 0.233 0.750 0.974 1
Ge1 Ge 0.071 0.250 0.907 1
# * crystal system: orthorhombic
# * magnetic moment: 0.00 μB/atom
# * energy of formation: -21.34 kJ per mole of atoms
# * DFT total energy: -3.84 eV per atom

7.
# Sr2Cu3Ge2 PBE-GGA relaxed
data_Sr2Cu3Ge2
_cell_length_a 11.380
_cell_length_b 4.146
_cell_length_c 7.170
_cell_angle_alpha 90.00
_cell_angle_beta 119.70
_cell_angle_gamma 90.00
_symmetry_space_group_name_H-M 'C 1 2/m 1'
_symmetry_Int_Tables_number 12
loop_
_symmetry_equiv_pos_as_xyz
'x,y,z'
'-x,-y,-z'
'-x,y,-z'
'x,-y,z'
'x+1/2,y+1/2,z'
'-x+1/2,-y+1/2,-z'
'-x+1/2,y+1/2,-z'
'x+1/2,-y+1/2,z'
loop_
_atom_site_label
_atom_site_type_symbol
_atom_site_fract_x
_atom_site_fract_y
_atom_site_fract_z
_atom_site_occupancy
Sr1 Sr 0.132 0.000 0.256 1
Cu1 Cu 0.000 0.500 0.500 1
Cu2 Cu 0.149 0.500 0.914 1
Ge1 Ge 0.143 0.000 0.714 1
# * crystal system: monoclinic
# * magnetic moment: 0.00 μB/atom
# * energy of formation: -23.89 kJ per mole of atoms
# * DFT total energy: -3.80 eV per atom

8.
# SrCuGe3 PBE-GGA relaxed
data_SrCuGe3
_cell_length_a 5.631
_cell_length_b 5.631
_cell_length_c 5.631
_cell_angle_alpha 90.00
_cell_angle_beta 90.00
_cell_angle_gamma 90.00
_symmetry_space_group_name_H-M 'P m -3 m'
_symmetry_Int_Tables_number 221
_symmetry_space_group_name_Hall '-P 4 2 3'
loop_
_atom_site_label
_atom_site_type_symbol
_atom_site_fract_x
_atom_site_fract_y
_atom_site_fract_z
_atom_site_occupancy
Sr1 Sr 0.000 0.000 0.000 1
Cu1 Cu 0.500 0.500 0.500 1
Ge1 Ge 0.000 0.000 0.500 1
# * crystal system: cubic
# * magnetic moment: 0.00 μB/atom
# * energy of formation: 147.38 kJ per mole of atoms
# * DFT total energy: -2.40 eV per atom

9.
# SrCu2Ge PBE-GGA relaxed
data_SrCu2Ge
_cell_length_a 4.857
_cell_length_b 4.857
_cell_length_c 16.161
_cell_angle_alpha 90.00
_cell_angle_beta 90.00
_cell_angle_gamma 90.00
_symmetry_space_group_name_H-M 'I 41/a m d'
_symmetry_Int_Tables_number 141
loop_
_symmetry_equiv_pos_as_xyz
'x,y,z'
'-x,-y,-z'
'-y+1/4,x+3/4,z+1/4'
'y+1/4,-x+3/4,-z+1/4'
'-x+1/2,-y,z+1/2'
'x+1/2,y,-z+1/2'
'y+1/4,-x+1/4,z+3/4'
'-y+1/4,x+1/4,-z+3/4'
'x,-y,-z'
'-x,y,z'
'-y+1/4,-x+1/4,-z+3/4'
'y+1/4,x+1/4,z+3/4'
'-x+1/2,y,-z+1/2'
'x+1/2,-y,z+1/2'
'y+1/4,x+3/4,-z+1/4'
'-y+1/4,-x+3/4,z+1/4'
'x+1/2,y+1/2,z+1/2'
'-x+1/2,-y+1/2,-z+1/2'
'-y+3/4,x+1/4,z+3/4'
'y+3/4,-x+1/4,-z+3/4'
'-x,-y+1/2,z'
'x,y+1/2,-z'
'y+3/4,-x+3/4,z+1/4'
'-y+3/4,x+3/4,-z+1/4'
'x+1/2,-y+1/2,-z+1/2'
'-x+1/2,y+1/2,z+1/2'
'-y+3/4,-x+3/4,-z+1/4'
'y+3/4,x+3/4,z+1/4'
'-x,y+1/2,-z'
'x,-y+1/2,z'
'y+3/4,x+1/4,-z+3/4'
'-y+3/4,-x+1/4,z+3/4'
loop_
_atom_site_label
_atom_site_type_symbol
_atom_site_fract_x
_atom_site_fract_y
_atom_site_fract_z
_atom_site_occupancy
Sr1 Sr 0.000 0.250 0.375 1
Cu1 Cu 0.000 0.000 0.000 1
Ge1 Ge 0.000 0.250 0.875 1
# * crystal system: tetragonal
# * magnetic moment: 0.00 μB/atom
# * energy of formation: -17.02 kJ per mole of atoms
# * DFT total energy: -3.80 eV per atom

10.
# Sr3CuGe2 PBE-GGA relaxed
data_Sr3CuGe2
_cell_length_a 12.664
_cell_length_b 4.275
_cell_length_c 13.089
_cell_angle_alpha 90.00
_cell_angle_beta 90.00
_cell_angle_gamma 90.00
_symmetry_space_group_name_H-M 'P n m a'
_symmetry_Int_Tables_number 62
loop_
_symmetry_equiv_pos_as_xyz
'x,y,z'
'-x,-y,-z'
'-x+1/2,-y,z+1/2'
'x+1/2,y,-z+1/2'
'x+1/2,-y+1/2,-z+1/2'
'-x+1/2,y+1/2,z+1/2'
'-x,y+1/2,-z'
'x,-y+1/2,z'
loop_
_atom_site_label
_atom_site_type_symbol
_atom_site_fract_x
_atom_site_fract_y
_atom_site_fract_z
_atom_site_occupancy
Sr1 Sr 0.059 0.250 0.126 1
Sr2 Sr 0.116 0.750 0.555 1
Sr3 Sr 0.206 0.250 0.801 1
Cu1 Cu 0.131 0.250 0.372 1
Ge1 Ge 0.034 0.750 0.316 1
Ge2 Ge 0.200 0.750 0.984 1
# * crystal system: orthorhombic
# * magnetic moment: 0.00 μB/atom
# * energy of formation: -43.88 kJ per mole of atoms
# * DFT total energy: -3.52 eV per atom

11.
# SrCu3Ge PBE-GGA relaxed
data_SrCu3Ge
_cell_length_a 4.663
_cell_length_b 4.663
_cell_length_c 4.663
_cell_angle_alpha 90.00
_cell_angle_beta 90.00
_cell_angle_gamma 90.00
_symmetry_space_group_name_H-M 'P m -3 m'
_symmetry_Int_Tables_number 221
_symmetry_space_group_name_Hall '-P 4 2 3'
loop_
_atom_site_label
_atom_site_type_symbol
_atom_site_fract_x
_atom_site_fract_y
_atom_site_fract_z
_atom_site_occupancy
Sr1 Sr 0.000 0.000 0.000 1
Cu1 Cu 0.000 0.500 0.500 1
Ge1 Ge 0.500 0.500 0.500 1
# * crystal system: cubic
# * magnetic moment: 0.00 μB/atom
# * energy of formation: 3.77 kJ per mole of atoms
# * DFT total energy: -3.68 eV per atom
# * energy above the lowest structure with this stoichiometry: 0.000 eV/atom

Density of states at the Fermi level? In order: 8.2; 0.6; 11.5; 5.4; 4.0; 6.2; 6.9; 7.0; 5.5; 13.6; 1.7 states/eV per cell.